1.
## KCr2Pb (SCAN)

Data for KCr2Pb at its PBEsol-relaxed geometry.

The space group is Imm2 (No. 44) and the conventional cell measures 3.088, 5.432 and 10.896 Å, with angles of 90.00, 90.00 and 90.00 degrees. The distinct sites, in fractional coordinates, are K at (0.000, 0.000, 0.000), Cr at (0.000, 0.000, 0.543), Cr at (0.000, 0.500, 0.209) and Pb at (0.000, 0.500, 0.796).

The calculation puts the formation energy at 49 kJ per mole of atoms. Its total energy is -29.712 eV per atom. The theoretical density comes out at 6.4 g/cm3. The value obtained for the volume is 22.8 A^3/atom. Its magnetic moment is 0.9 μB per cell.

=====

2.
## ScFeSeN2 (SCAN)

Data for ScFeSeN2 at its PBEsol-relaxed geometry.

The space group is P4/mmm (No. 123) and the conventional cell measures 3.660, 3.660 and 4.791 Å, with angles of 90.00, 90.00 and 90.00 degrees. The distinct sites, in fractional coordinates, are Sc at (0.000, 0.000, 0.000), Fe at (0.500, 0.500, 0.500), Se at (0.500, 0.500, 0.000) and N at (0.000, 0.500, 0.500).

Its total energy is -14.171 eV per atom. The theoretical density comes out at 5.4 g/cm3. The value obtained for the volume is 12.8 A^3/atom. Its magnetic moment is 3.3 μB per cell. The raw formation energy is 34 meV/atom.